Record 1
Here is a relaxed structure of K2Na2Cd3 from Alexandria via LeMat-Bulk. Energies are from GGA-PBE.

**SG**: C2/m (12)
**Calculated formation energy**: -6 kJ/mol of atoms
**Energy**: -1.146 eV/atom

a = 13.076 Å, b = 5.560 Å, c = 8.116 Å
α = 90.00°, β = 122.18°, γ = 90.00°
Fractional coordinates of all 14 atoms:
K1 0.164 0.000 0.275
K2 0.336 0.500 0.725
K3 0.664 0.500 0.275
K4 0.836 0.000 0.725
Na1 0.142 0.000 0.769
Na2 0.358 0.500 0.231
Na3 0.642 0.500 0.769
Na4 0.858 0.000 0.231
Cd1 0.000 0.500 0.500
Cd2 0.067 0.500 0.901
Cd3 0.433 0.000 0.099
Cd4 0.500 0.000 0.500
Cd5 0.567 0.000 0.901
Cd6 0.933 0.500 0.099



Record 2
Here is a relaxed structure of K2Na12Cd from Alexandria via LeMat-Bulk. Energies are from GGA-PBE.

**SG**: P4/nbm (125)
**Calculated formation energy**: 5 kJ/mol of atoms
**Energy**: -1.214 eV/atom

a = 7.277 Å, b = 7.277 Å, c = 23.982 Å
α = 90.00°, β = 90.00°, γ = 90.00°
Fractional coordinates of all 30 atoms:
K1 0.250 0.750 0.244
K2 0.250 0.750 0.756
K3 0.750 0.250 0.244
K4 0.750 0.250 0.756
Na1 0.000 0.000 0.420
Na2 0.000 0.000 0.580
Na3 0.000 0.500 0.420
Na4 0.000 0.500 0.580
Na5 0.079 0.579 0.065
Na6 0.079 0.921 0.935
Na7 0.250 0.250 0.166
Na8 0.250 0.250 0.314
Na9 0.250 0.250 0.686
Na10 0.250 0.250 0.834
Na11 0.421 0.579 0.935
Na12 0.421 0.921 0.065
Na13 0.500 0.000 0.420
Na14 0.500 0.000 0.580
Na15 0.500 0.500 0.420
Na16 0.500 0.500 0.580
Na17 0.579 0.079 0.935
Na18 0.579 0.421 0.065
Na19 0.750 0.750 0.166
Na20 0.750 0.750 0.314
Na21 0.750 0.750 0.686
Na22 0.750 0.750 0.834
Na23 0.921 0.079 0.065
Na24 0.921 0.421 0.935
Cd1 0.250 0.750 0.500
Cd2 0.750 0.250 0.500



Record 3
Here is a relaxed structure of K2Na2Cd15 from Alexandria via LeMat-Bulk. Energies are from GGA-PBE.

**SG**: R-3m (166)
**Calculated formation energy**: -7 kJ/mol of atoms
**Energy**: -1.052 eV/atom

a = 7.928 Å, b = 7.928 Å, c = 7.928 Å
α = 83.88°, β = 83.88°, γ = 83.88°
Fractional coordinates of all 19 atoms:
K1 0.156 0.156 0.156
K2 0.844 0.844 0.844
Na1 0.397 0.397 0.397
Na2 0.603 0.603 0.603
Cd1 0.000 0.500 0.500
Cd2 0.146 0.146 0.659
Cd3 0.146 0.659 0.146
Cd4 0.201 0.500 0.799
Cd5 0.201 0.799 0.500
Cd6 0.341 0.854 0.854
Cd7 0.500 0.000 0.500
Cd8 0.500 0.201 0.799
Cd9 0.500 0.500 0.000
Cd10 0.500 0.799 0.201
Cd11 0.659 0.146 0.146
Cd12 0.799 0.201 0.500
Cd13 0.799 0.500 0.201
Cd14 0.854 0.341 0.854
Cd15 0.854 0.854 0.341



Record 4
Here is a relaxed structure of K6Na3Cd from Alexandria via LeMat-Bulk. Energies are from GGA-PBE.

**SG**: P2_1/c (14)
**Calculated formation energy**: 1 kJ/mol of atoms
**Energy**: -1.131 eV/atom

a = 11.525 Å, b = 7.887 Å, c = 16.527 Å
α = 90.00°, β = 133.73°, γ = 90.00°
Fractional coordinates of all 20 atoms:
K1 0.088 0.246 0.238
K2 0.088 0.254 0.738
K3 0.226 0.101 0.062
K4 0.226 0.399 0.562
K5 0.386 0.577 0.066
K6 0.386 0.923 0.566
K7 0.614 0.077 0.434
K8 0.614 0.423 0.934
K9 0.774 0.601 0.438
K10 0.774 0.899 0.938
K11 0.912 0.746 0.262
K12 0.912 0.754 0.762
Na1 0.244 0.709 0.235
Na2 0.244 0.791 0.735
Na3 0.500 0.000 0.000
Na4 0.500 0.500 0.500
Na5 0.756 0.209 0.265
Na6 0.756 0.291 0.765
Cd1 0.000 0.000 0.500
Cd2 0.000 0.500 0.000



Record 5
Here is a relaxed structure of KNa16Cd12 from Alexandria via LeMat-Bulk. Energies are from GGA-PBE.

**SG**: Cm (8)
**Calculated formation energy**: -7 kJ/mol of atoms
**Energy**: -1.216 eV/atom

a = 10.217 Å, b = 10.217 Å, c = 10.084 Å
α = 108.57°, β = 108.57°, γ = 109.47°
Fractional coordinates of all 29 atoms:
K1 0.000 0.000 0.000
Na1 0.173 0.585 0.586
Na2 0.187 0.894 0.282
Na3 0.267 0.267 0.545
Na4 0.269 0.269 0.946
Na5 0.276 0.862 0.958
Na6 0.295 0.993 0.680
Na7 0.577 0.902 0.859
Na8 0.579 0.927 0.265
Na9 0.582 0.582 0.629
Na10 0.585 0.173 0.586
Na11 0.586 0.586 0.279
Na12 0.862 0.276 0.958
Na13 0.894 0.187 0.282
Na14 0.902 0.577 0.859
Na15 0.927 0.579 0.265
Na16 0.993 0.295 0.680
Cd1 0.225 0.587 0.089
Cd2 0.230 0.411 0.283
Cd3 0.398 0.585 0.902
Cd4 0.407 0.768 0.460
Cd5 0.411 0.230 0.283
Cd6 0.585 0.398 0.902
Cd7 0.587 0.225 0.089
Cd8 0.752 0.938 0.618
Cd9 0.753 0.753 0.093
Cd10 0.768 0.407 0.460
Cd11 0.938 0.752 0.618
Cd12 0.944 0.944 0.440



Record 6
Here is a relaxed structure of K8Na2Cd3 from Alexandria via LeMat-Bulk. Energies are from GGA-PBE.

**SG**: P2/m (10)
**Calculated formation energy**: 5 kJ/mol of atoms
**Energy**: -1.040 eV/atom

a = 10.927 Å, b = 6.275 Å, c = 10.973 Å
α = 90.00°, β = 110.53°, γ = 90.00°
Fractional coordinates of all 13 atoms:
K1 0.117 0.000 0.383
K2 0.129 0.500 0.864
K3 0.361 0.500 0.630
K4 0.382 0.000 0.118
K5 0.618 0.000 0.882
K6 0.639 0.500 0.370
K7 0.871 0.500 0.136
K8 0.883 0.000 0.617
Na1 0.260 0.500 0.242
Na2 0.740 0.500 0.758
Cd1 0.260 0.000 0.761
Cd2 0.500 0.500 0.000
Cd3 0.740 0.000 0.239